[1]
An optimized crystal structure of DyPa3N6. Source: the Open Quantum Materials Database, functional PBE.

Calculated values
- symmetry = Cmmm
- V (Å³/cell) = 159
- size of the total moment (μB/atom) = 0.002
- DFT total energy (eV/atom) = -9.7428

Unit cell a=6.7986 b=6.7986 c=3.6611 alpha=90.00 beta=90.00 gamma=110.24
Closest atoms and distances in Å follow each position.
Element x y z (fractional)
Pa 0.5000 0.5000 0.0000  4 N 2.14
Pa 0.0000 0.5000 0.5000  6 N 2.24-2.30
Pa 0.5000 0.0000 0.5000  6 N 2.24-2.30
Dy 0.0000 0.0000 0.0000  8 N 2.48-2.73
N 0.5727 0.8322 0.0000  3 Pa 2.14-2.30
N 0.4273 0.1678 0.0000  3 Pa 2.14-2.30
N 0.1678 0.4273 0.0000  3 Pa 2.14-2.30
N 0.1496 0.8504 0.5000  2 Pa 2.24, 2 Dy 2.48
N 0.8322 0.5727 0.0000  3 Pa 2.14-2.30
N 0.8504 0.1496 0.5000  2 Pa 2.24, 2 Dy 2.48



[2]
An optimized crystal structure of SrHfNO. Source: the Open Quantum Materials Database, functional PBE.

Calculated values
- symmetry = Pca2_1
- offset from the most stable computed form (meV/atom) = 0
- V (Å³/cell) = 278
- size of the total moment (μB/atom) = 0.075

Unit cell a=6.7559 b=7.7479 c=5.3113 alpha=90.00 beta=90.00 gamma=90.00
Closest atoms and distances in Å follow each position.
Element x y z (fractional)
N 0.3969 0.0680 0.1362  3 Hf 2.06-2.16
N 0.8969 0.9320 0.1362  3 Hf 2.06-2.16
N 0.6031 0.9320 0.6362  3 Hf 2.06-2.16
N 0.1031 0.0680 0.6362  3 Hf 2.06-2.16
Hf 0.4029 0.1207 0.5164  1 O 2.01, 3 N 2.06-2.16
Hf 0.0971 0.1207 0.0164  1 O 2.01, 3 N 2.06-2.16
Hf 0.9029 0.8793 0.5164  1 O 2.01, 3 N 2.06-2.16
Hf 0.5971 0.8793 0.0164  1 O 2.01, 3 N 2.06-2.16
O 0.4252 0.6670 0.0205  1 Hf 2.01
O 0.9252 0.3330 0.0205  1 Hf 2.01
O 0.5748 0.3330 0.5205  1 Hf 2.01
O 0.0748 0.6670 0.5205  1 Hf 2.01
Sr 0.0676 0.6310 0.0293  4 O 2.43-2.72, 1 N 2.66
Sr 0.9324 0.3690 0.5293  4 O 2.43-2.72, 1 N 2.66
Sr 0.5676 0.3690 0.0293  4 O 2.43-2.72, 1 N 2.66
Sr 0.4324 0.6310 0.5293  4 O 2.43-2.72, 1 N 2.66



[3]
An optimized crystal structure of LuAlCdFe. Source: the Open Quantum Materials Database, functional PBE.

Calculated values
- symmetry = F-43m
- offset from the most stable computed form (meV/atom) = 14
- V (Å³/cell) = 74
- size of the total moment (μB/atom) = 0.568

Unit cell a=4.7162 b=4.7162 c=4.7162 alpha=60.00 beta=60.00 gamma=60.00
Closest atoms and distances in Å follow each position.
Element x y z (fractional)
Lu 0.2500 0.2500 0.2500  4 Cd 2.89, 4 Al 2.89
Fe 0.7500 0.7500 0.7500  4 Cd 2.89, 4 Al 2.89
Cd 0.5000 0.5000 0.5000  4 Lu 2.89, 4 Fe 2.89
Al 0.0000 0.0000 0.0000  4 Lu 2.89, 4 Fe 2.89



[4]
An optimized crystal structure of NaNbFeTe3. Source: the Open Quantum Materials Database, functional PBE.

Calculated values
- symmetry = P2_1/m
- offset from the most stable computed form (meV/atom) = 0
- V (Å³/cell) = 300
- size of the total moment (μB/atom) = 0.336

Unit cell a=8.5302 b=3.7040 c=10.3125 alpha=90.00 beta=113.16 gamma=90.00
Closest atoms and distances in Å follow each position.
Element x y z (fractional)
Fe 0.9235 0.2500 0.4021  4 Te 2.61-2.64, 2 Fe 2.67, 2 Nb 2.88
Fe 0.0765 0.7500 0.5979  4 Te 2.61-2.64, 2 Fe 2.67, 2 Nb 2.88
Na 0.2822 0.7500 0.2893  6 Te 3.16-3.26
Na 0.7178 0.2500 0.7107  6 Te 3.16-3.26
Te 0.4361 0.2500 0.1198  3 Nb 2.90-2.92, 2 Na 3.16
Te 0.0586 0.7500 0.8450  1 Fe 2.61, 2 Nb 2.77
Te 0.2579 0.2500 0.5382  3 Fe 2.64, 1 Nb 2.75
Te 0.9414 0.2500 0.1550  1 Fe 2.61, 2 Nb 2.77
Te 0.7421 0.7500 0.4618  3 Fe 2.64, 1 Nb 2.75
Te 0.5639 0.7500 0.8802  3 Nb 2.90-2.92, 2 Na 3.16
Nb 0.7189 0.7500 0.1882  6 Te 2.75-2.92, 2 Fe 2.88
Nb 0.2811 0.2500 0.8118  6 Te 2.75-2.92, 2 Fe 2.88



What is the formula in the second record?
SrHfNO